No. 1
{
  "formula": "K4Ho3AlSe8",
  "functional": "PBE",
  "state": "optimized geometry",
  "total_magnetization_mub_per_cell": 0.00,
  "vol_a3_per_cell": 451.87,
  "mass_density_g_cm3": 4.81,
  "raw_formation_energy_ev_per_atom": -1.5386,
  "space_group": "R-3m (166)",
  "lattice": [[8.2481, 0.0000, 0.0000], [0.0000, 9.0132, 0.5266], [-4.1240, -4.1175, 5.8377]],
  "species": ["K", "K", "K", "Se", "Se", "Se", "K", "Ho", "Ho", "Se", "Se", "Se", "Ho", "Al", "Se", "Se"],
  "frac_coords": [[0.5000, 0.0000, 0.5000], [0.5000, 0.0000, 0.0000], [0.0000, 0.0000, 0.5000], [0.7355, 0.7064, 0.4710], [0.7779, 0.3039, 0.5558], [0.2221, 0.6961, 0.4442], [0.0000, 0.0000, 0.0000], [0.0000, 0.5000, 0.5000], [0.5000, 0.5000, 0.5000], [0.7780, 0.3039, 0.0259], [0.7521, 0.6961, 0.9741], [0.2645, 0.2936, 0.5290], [0.5000, 0.5000, 0.0000], [0.0000, 0.5000, 0.0000], [0.2479, 0.3039, 0.0259], [0.2220, 0.6961, 0.9741]]
}

---

No. 2
{
  "formula": "K2HoAlSe4",
  "functional": "PBE",
  "state": "optimized geometry",
  "total_magnetization_mub_per_cell": 0.00,
  "vol_a3_per_cell": 427.52,
  "mass_density_g_cm3": 4.55,
  "raw_formation_energy_ev_per_atom": -1.2740,
  "space_group": "Imma (74)",
  "lattice": [[8.4663, -0.0287, -0.1962], [-0.0346, 8.4663, -0.1962], [-4.2758, -4.2788, 6.1635]],
  "species": ["Se", "Se", "K", "Se", "Se", "K", "Se", "K", "Se", "Ho", "Al", "Ho", "Al", "K", "Se", "Se"],
  "frac_coords": [[0.2519, 0.7058, 0.4789], [0.7942, 0.2481, 0.0211], [0.5000, 0.5000, 0.0000], [0.7597, 0.7406, 0.9524], [0.2058, 0.7519, 0.9789], [0.5000, 0.0000, 0.0000], [0.2403, 0.2594, 0.0476], [0.5000, 0.0000, 0.5000], [0.7480, 0.2942, 0.5211], [0.0000, 0.5000, 0.5000], [0.0000, 0.0000, 0.0000], [0.0000, 0.5000, 0.0000], [0.5000, 0.5000, 0.5000], [0.0000, 0.0000, 0.5000], [0.2406, 0.2597, 0.4524], [0.7594, 0.7403, 0.5476]]
}

---

No. 3
{
  "formula": "K2HoAlTe4",
  "functional": "PBE",
  "state": "optimized geometry",
  "total_magnetization_mub_per_cell": 0.00,
  "vol_a3_per_cell": 283.12,
  "mass_density_g_cm3": 4.58,
  "raw_formation_energy_ev_per_atom": -0.9969,
  "space_group": "I-42m (121)",
  "lattice": [[7.3996, 0.0000, 0.0000], [3.6998, 6.1856, 0.0000], [3.6998, 0.0000, 6.1856]],
  "species": ["Al", "Te", "Te", "Ho", "K", "Te", "Te", "K"],
  "frac_coords": [[0.5000, 0.0000, 0.0000], [0.8924, 0.0000, 0.6562], [0.1076, 0.3438, 0.0000], [0.0000, 0.0000, 0.0000], [0.5000, 0.5000, 0.5000], [0.4514, 0.6562, 0.0000], [0.5486, 0.0000, 0.3438], [0.0000, 0.5000, 0.5000]]
}

---

No. 4
{
  "formula": "La6HoAl2",
  "functional": "PBE",
  "state": "optimized geometry",
  "total_magnetization_mub_per_cell": 0.00,
  "ef_ev_per_atom": -0.149,
  "vol_a3_per_cell": 288.39,
  "mass_density_g_cm3": 6.06,
  "space_group": "C2/m (12)",
  "lattice": [[3.7813, 0.0000, 0.6003], [1.6476, 6.4363, 1.8309], [0.0506, 0.1303, 11.8896]],
  "species": ["La", "La", "La", "La", "Al", "La", "Ho", "La", "Al"],
  "frac_coords": [[0.3217, 0.4790, 0.8776], [0.6783, 0.5210, 0.1224], [0.0320, 0.2636, 0.6723], [0.6933, 0.2136, 0.3998], [0.6476, 0.8888, 0.8160], [0.3067, 0.7864, 0.6002], [0.0000, 0.0000, 0.0000], [0.9680, 0.7364, 0.3277], [0.3524, 0.1112, 0.1840]]
}